Below is an optimized crystal structure of LiCo2SiC, with properties calculated at the GGA-PBE level.

a b c (Å): 4.1756 4.3993 4.1756
angles (deg): 90.00 90.00 90.00
Each line ends with the local moment (μB).
Positions (direct):
Si 0.0000 0.0000 0.0000  -0.06
C 0.5000 0.5000 0.5000  -0.14
Co 0.0000 0.0000 0.5000  1.11
Co 0.5000 0.0000 0.0000  1.26
Li 0.0000 0.5000 0.0000  0.00

Output
The calculation puts the formation energy from raw total energies at 805.1 kJ/mol of formula units. As for the symmetry: P4/mmm. The value obtained for the total energy is -4.486 eV per atom. As for the density of states at the Fermi level: 9.1 states/eV/cell.

---

Below is an optimized crystal structure of LiSm2CoC, with properties calculated at the GGA-PBE level.

a b c (Å): 3.6590 5.1531 5.1531
angles (deg): 90.00 90.00 90.00
Positions (direct):
Co 0.5000 0.0000 0.0000
Sm 0.0000 0.0000 0.5000
Sm 0.0000 0.5000 0.0000
C 0.0000 0.0000 0.0000
Li 0.5000 0.5000 0.5000

Output
As for the symmetry: P4/mmm. The value obtained for the total energy is -5.694 eV per atom. As for the density of states at the Fermi level: 2.9 states/eV/cell.

---

Below is an optimized crystal structure of LiCo2SnC, with properties calculated at the GGA-PBE level.

a b c (Å): 3.7962 3.7962 4.0465
angles (deg): 90.00 90.00 90.00
Each line ends with the local moment (μB).
Positions (direct):
Co 0.5000 0.0000 0.0000  0.46
Co 0.0000 0.5000 0.0000  0.46
C 0.0000 0.0000 0.0000  0.01
Li 0.0000 0.0000 0.5000  0.01
Sn 0.5000 0.5000 0.5000  -0.01

Output
As for the symmetry: P4/mmm. The value obtained for the total energy is -5.851 eV per atom. As for the density of states at the Fermi level: 2.3 states/eV/cell.

---

Below is an optimized crystal structure of Sr2LiCoC, with properties calculated at the GGA-PBE level.

a b c (Å): 5.5052 3.9674 5.5052
angles (deg): 90.00 90.00 90.00
Each line ends with the local moment (μB).
Positions (direct):
C 0.5000 0.5000 0.5000  0.48
Li 0.0000 0.0000 0.0000  -0.06
Co 0.0000 0.5000 0.0000  1.11
Sr 0.0000 0.0000 0.5000  -0.02
Sr 0.5000 0.0000 0.0000  -0.03

Output
As for the symmetry: P4/mmm. The value obtained for the total energy is -2.884 eV per atom. As for the excess energy over the best structure of this formula in the dataset: 1.298 eV per atom. As for the density of states at the Fermi level: 4.1 states/eV/cell.

---

Below is an optimized crystal structure of SrLi2CoC, with properties calculated at the GGA-PBE level.

a b c (Å): 4.4210 5.7528 4.4210
angles (deg): 90.00 90.00 90.00
Each line ends with the local moment (μB).
Positions (direct):
C 0.5000 0.5000 0.5000  0.83
Sr 0.0000 0.5000 0.0000  0.03
Co 0.0000 0.0000 0.0000  1.33
Li 0.5000 0.0000 0.0000  -0.02
Li 0.0000 0.0000 0.5000  -0.01

Output
As for the symmetry: P4/mmm. The value obtained for the total energy is -2.958 eV per atom. As for the density of states at the Fermi level: 6.4 states/eV/cell.

---

Below is an optimized crystal structure of Sr2LiCoC, with properties calculated at the GGA-PBE level.

a b c (Å): 5.5712 5.5712 3.6863
angles (deg): 90.00 90.00 90.00
Positions (direct):
C 0.0000 0.0000 0.0000
Co 0.0000 0.0000 0.5000
Sr 0.0000 0.5000 0.0000
Sr 0.5000 0.0000 0.0000
Li 0.5000 0.5000 0.5000

Output
As for the symmetry: P4/mmm. The value obtained for the total energy is -4.182 eV per atom. As for the excess energy over the best structure of this formula in the dataset: 0.000 eV per atom. As for the density of states at the Fermi level: 3.0 states/eV/cell.

---

Below is an optimized crystal structure of LiTaCo2C, with properties calculated at the GGA-PBE level.

a b c (Å): 3.7652 3.9019 3.7652
angles (deg): 90.00 90.00 90.00
Each line ends with the local moment (μB).
Positions (direct):
Li 0.0000 0.5000 0.0000  0.01
Ta 0.5000 0.5000 0.5000  0.00
C 0.0000 0.0000 0.0000  0.01
Co 0.5000 0.0000 0.0000  0.77
Co 0.0000 0.0000 0.5000  0.47

Output
As for the symmetry: P4/mmm. The value obtained for the total energy is -7.176 eV per atom. As for the density of states at the Fermi level: 2.8 states/eV/cell.

---

Below is an optimized crystal structure of LiTb2CoC, with properties calculated at the GGA-PBE level.

a b c (Å): 3.6556 5.0259 5.0259
angles (deg): 90.00 90.00 90.00
Positions (direct):
Tb 0.0000 0.0000 0.5000
Tb 0.0000 0.5000 0.0000
C 0.0000 0.0000 0.0000
Co 0.5000 0.0000 0.0000
Li 0.5000 0.5000 0.5000

Output
As for the symmetry: P4/mmm. The value obtained for the total energy is -5.712 eV per atom. As for the density of states at the Fermi level: 2.7 states/eV/cell.